Density functional theory data (PBE) for SrTmB4 after structural relaxation.

Lattice parameters (Å, degrees): 5.2623 5.2623 5.2623 144.37 111.90 79.30
Last column: nearest neighbours and their distance in Å.
Sites, in units of the cell vectors:
B1 0.5648 0.2433 0.3215  2 B 1.82
B2 0.9218 0.2433 0.6785  2 B 1.82
B3 0.0782 0.7567 0.3215  2 B 1.82
B4 0.4352 0.7567 0.6785  2 B 1.82
Tm1 0.5000 0.5000 0.0000  12 B 2.75-2.81
Sr1 0.0000 0.0000 0.0000  12 B 2.73-2.83

DFT total energy   -5.61 eV/atom
Theoretical density   6.5 g cm⁻³